No. 1
# ReP2WO (PBEsol, optimized geometry)
data_ReP2WO
_cell_length_a 4.7218
_cell_length_b 4.7218
_cell_length_c 3.5983
_cell_angle_alpha 90.00
_cell_angle_beta 90.00
_cell_angle_gamma 90.00
_symmetry_space_group_name_H-M 'P 4/m m m'
_symmetry_Int_Tables_number 123
_symmetry_space_group_name_Hall '-P 4 2'
loop_
_atom_site_label
_atom_site_fract_x
_atom_site_fract_y
_atom_site_fract_z
Re1 0.0000 0.0000 0.0000
P1 0.0000 0.5000 0.0000
W1 0.5000 0.5000 0.5000
O1 0.0000 0.0000 0.5000
# * formation energy without anion corrections: 588 meV/atom
# * total magnetic moment: 2.84 μB/f.u.

=====

No. 2
# Ba2AgMo (PBEsol, optimized geometry)
data_Ba2AgMo
_cell_length_a 3.6070
_cell_length_b 3.6070
_cell_length_c 30.5731
_cell_angle_alpha 90.00
_cell_angle_beta 90.00
_cell_angle_gamma 120.00
_symmetry_space_group_name_H-M 'R -3 m'
_symmetry_Int_Tables_number 166
_symmetry_space_group_name_Hall '-R 3 2"'
loop_
_atom_site_label
_atom_site_fract_x
_atom_site_fract_y
_atom_site_fract_z
Ba1 0.0000 0.0000 0.2473
Ag1 0.0000 0.0000 0.0000
Mo1 0.0000 0.0000 0.5000
# * formation energy: 982 meV per atom
# * ΔE to the lowest computed polymorph: 188 meV/atom
# * total magnetic moment: 1.52 μB/f.u.